Below is a geometry-optimized PrHo2Lu structure, with properties calculated at the PBE level.

Geometry as CIF:
```
data_PrHo2Lu
_cell_length_a 11.756
_cell_length_b 11.756
_cell_length_c 11.756
_cell_angle_alpha 17.42
_cell_angle_beta 17.42
_cell_angle_gamma 17.42
_symmetry_space_group_name_H-M 'P 1'
_symmetry_Int_Tables_number 1
loop_
_symmetry_equiv_pos_as_xyz
'x,y,z'
loop_
_atom_site_label
_atom_site_fract_x
_atom_site_fract_y
_atom_site_fract_z
_atom_site_occupancy
Pr1 0.000 0.000 0.000 1
Ho1 0.248 0.248 0.248 1
Ho2 0.752 0.752 0.752 1
Lu1 0.500 0.500 0.500 1
```

Values from the calculation:
DFT total energy   -4.58 eV per atom
Space group   R-3m (166)
DOS(E_F)   1.452 states/eV/atom
Energy above the lowest structure with this stoichiometry   1 meV per atom
ΔH_f (0 K)   29 meV/atom
Magnetization   0.00 μB/atom